An optimized crystal structure of NbNiSe2N, computed with GGA-PBE.

abc: 5.156 5.156 3.858
angles: 90.00 90.00 90.00
Sites, in units of the cell vectors:
Nb: 0.000 0.000 0.000
Ni: 0.500 0.500 0.500
Se: 0.000 0.500 0.000
Se: 0.500 0.000 0.000
N: 0.000 0.000 0.500

## Properties
energy relative to the elements, uncorrected = 42 kJ per mole of atoms
uncorrected energy = -28.9 eV per cell
space-group type = P4/mmm, No. 123
total magnetic moment = 1.64 μB/f.u.